[1]
A plane-wave DFT calculation with GGA-PBE was carried out for La2MgFe after structural relaxation.

Properties
Energy of formation from the pure elements = 0.29 eV/atom
Raw total energy = -4.692 eV per atom
Magnetization = 0.4 μB/f.u.

CIF file:
```
data_La2MgFe
_chemical_formula_sum 'La8 Mg4 Fe4'
_cell_length_a 8.269
_cell_length_b 8.269
_cell_length_c 6.242
_cell_angle_alpha 90.00
_cell_angle_beta 90.00
_cell_angle_gamma 90.00
_symmetry_space_group_name_H-M 'I -4 2 d'
_symmetry_Int_Tables_number 122
_symmetry_space_group_name_Hall 'I -4 2bw'
loop_
_atom_site_label
_atom_site_fract_x
_atom_site_fract_y
_atom_site_fract_z
La1 0.171 0.250 0.125
Mg1 0.000 0.000 0.500
Fe1 0.000 0.000 0.000
```

[2]
A plane-wave DFT calculation with GGA-PBE was carried out for La2MgFe after structural relaxation.

Properties
Energy of formation from the pure elements = 0.32 eV/atom
Raw total energy = -4.656 eV per atom
Magnetization = 1.8 μB/f.u.

CIF file:
```
data_La2MgFe
_chemical_formula_sum 'La6 Mg3 Fe3'
_cell_length_a 3.5979
_cell_length_b 3.5979
_cell_length_c 29.0597
_cell_angle_alpha 90.00
_cell_angle_beta 90.00
_cell_angle_gamma 120.00
_symmetry_space_group_name_H-M 'R 3 m'
_symmetry_Int_Tables_number 160
_symmetry_space_group_name_Hall 'R 3 -2"'
loop_
_atom_site_label
_atom_site_fract_x
_atom_site_fract_y
_atom_site_fract_z
La1 0.0000 0.0000 0.0000
La2 0.0000 0.0000 0.2206
Mg1 0.0000 0.0000 0.4554
Fe1 0.0000 0.0000 0.7297
```

[3]
A plane-wave DFT calculation with GGA-PBE was carried out for La2MgFe after structural relaxation.

Properties
Energy of formation from the pure elements = 0.08 eV/atom
Raw total energy = -4.896 eV per atom
Magnetization = 1.4 μB/f.u.

CIF file:
```
data_La2MgFe
_chemical_formula_sum 'La2 Mg1 Fe1'
_cell_length_a 3.566
_cell_length_b 3.566
_cell_length_c 8.472
_cell_angle_alpha 90.00
_cell_angle_beta 90.00
_cell_angle_gamma 90.00
_symmetry_space_group_name_H-M 'P 4/m m m'
_symmetry_Int_Tables_number 123
_symmetry_space_group_name_Hall '-P 4 2'
loop_
_atom_site_label
_atom_site_fract_x
_atom_site_fract_y
_atom_site_fract_z
La1 0.000 0.000 0.201
Mg1 0.500 0.500 0.500
Fe1 0.500 0.500 0.000
```

[4]
A plane-wave DFT calculation with GGA-PBE was carried out for La2MgFe after structural relaxation.

Properties
Energy of formation from the pure elements = 0.23 eV/atom
Raw total energy = -4.750 eV per atom
Magnetization = 1.3 μB/f.u.

CIF file:
```
data_La2MgFe
_chemical_formula_sum 'La2 Mg1 Fe1'
_cell_length_a 3.909
_cell_length_b 4.748
_cell_length_c 6.304
_cell_angle_alpha 90.00
_cell_angle_beta 107.92
_cell_angle_gamma 90.00
_symmetry_space_group_name_H-M 'P 1 m 1'
_symmetry_Int_Tables_number 6
_symmetry_space_group_name_Hall 'P -2y'
loop_
_atom_site_label
_atom_site_fract_x
_atom_site_fract_y
_atom_site_fract_z
La1 0.000 0.000 0.000
La2 0.294 0.500 0.592
Mg1 0.585 0.500 0.172
Fe1 0.708 0.000 0.418
```

[5]
A plane-wave DFT calculation with GGA-PBE was carried out for La3MgFe after structural relaxation.

Properties
Energy of formation from the pure elements = -0.01 eV/atom
Raw total energy = -4.981 eV per atom
Magnetization = 0.0 μB/f.u.

CIF file:
```
data_La3MgFe
_chemical_formula_sum 'La3 Mg1 Fe1'
_cell_length_a 5.353
_cell_length_b 5.353
_cell_length_c 5.353
_cell_angle_alpha 90.00
_cell_angle_beta 90.00
_cell_angle_gamma 90.00
_symmetry_space_group_name_H-M 'P m -3 m'
_symmetry_Int_Tables_number 221
_symmetry_space_group_name_Hall '-P 4 2 3'
loop_
_atom_site_label
_atom_site_fract_x
_atom_site_fract_y
_atom_site_fract_z
La1 0.000 0.000 0.500
Mg1 0.500 0.500 0.500
Fe1 0.000 0.000 0.000
```

[6]
A plane-wave DFT calculation with GGA-PBE was carried out for La2MgFe after structural relaxation.

Properties
Energy of formation from the pure elements = 0.28 eV/atom
Raw total energy = -4.702 eV per atom
Magnetization = 1.6 μB/f.u.

CIF file:
```
data_La2MgFe
_chemical_formula_sum 'La4 Mg2 Fe2'
_cell_length_a 4.690
_cell_length_b 4.690
_cell_length_c 9.298
_cell_angle_alpha 90.00
_cell_angle_beta 90.00
_cell_angle_gamma 90.00
_symmetry_space_group_name_H-M 'I -4 m 2'
_symmetry_Int_Tables_number 119
_symmetry_space_group_name_Hall 'I -4 -2'
loop_
_atom_site_label
_atom_site_fract_x
_atom_site_fract_y
_atom_site_fract_z
La1 0.000 0.000 0.000
La2 0.000 0.500 0.250
Mg1 0.000 0.500 0.750
Fe1 0.000 0.000 0.500
```

[7]
A plane-wave DFT calculation with GGA-PBE was carried out for LaMg3Fe after structural relaxation.

Properties
Energy of formation from the pure elements = 0.23 eV/atom
Raw total energy = -3.404 eV per atom
Magnetization = 0.9 μB/f.u.

CIF file:
```
data_LaMg3Fe
_chemical_formula_sum 'La1 Mg3 Fe1'
_cell_length_a 4.958
_cell_length_b 4.958
_cell_length_c 4.958
_cell_angle_alpha 90.00
_cell_angle_beta 90.00
_cell_angle_gamma 90.00
_symmetry_space_group_name_H-M 'P m -3 m'
_symmetry_Int_Tables_number 221
_symmetry_space_group_name_Hall '-P 4 2 3'
loop_
_atom_site_label
_atom_site_fract_x
_atom_site_fract_y
_atom_site_fract_z
La1 0.000 0.000 0.000
Mg1 0.000 0.500 0.500
Fe1 0.500 0.500 0.500
```

[8]
A plane-wave DFT calculation with GGA-PBE was carried out for LaMgFe3 after structural relaxation.

Properties
Energy of formation from the pure elements = 1.46 eV/atom
Raw total energy = -4.922 eV per atom
Magnetization = 5.8 μB/f.u.

CIF file:
```
data_LaMgFe3
_chemical_formula_sum 'La1 Mg1 Fe3'
_cell_length_a 4.704
_cell_length_b 4.704
_cell_length_c 4.704
_cell_angle_alpha 90.00
_cell_angle_beta 90.00
_cell_angle_gamma 90.00
_symmetry_space_group_name_H-M 'P m -3 m'
_symmetry_Int_Tables_number 221
_symmetry_space_group_name_Hall '-P 4 2 3'
loop_
_atom_site_label
_atom_site_fract_x
_atom_site_fract_y
_atom_site_fract_z
La1 0.000 0.000 0.000
Mg1 0.500 0.500 0.500
Fe1 0.000 0.000 0.500
```

[9]
A plane-wave DFT calculation with GGA-PBE was carried out for La2MgFe after structural relaxation.

Properties
Energy of formation from the pure elements = 0.19 eV/atom
Raw total energy = -4.786 eV per atom
Magnetization = 0.0 μB/f.u.

CIF file:
```
data_La2MgFe
_chemical_formula_sum 'La4 Mg2 Fe2'
_cell_length_a 3.826
_cell_length_b 5.718
_cell_length_c 9.570
_cell_angle_alpha 90.00
_cell_angle_beta 90.00
_cell_angle_gamma 90.00
_symmetry_space_group_name_H-M 'I m m m'
_symmetry_Int_Tables_number 71
_symmetry_space_group_name_Hall '-I 2 2'
loop_
_atom_site_label
_atom_site_fract_x
_atom_site_fract_y
_atom_site_fract_z
La1 0.000 0.000 0.187
Mg1 0.000 0.500 0.000
Fe1 0.000 0.500 0.500
```

[10]
A plane-wave DFT calculation with GGA-PBE was carried out for La2MgFe after structural relaxation.

Properties
Energy of formation from the pure elements = 0.18 eV/atom
Raw total energy = -4.795 eV per atom
Magnetization = 0.0 μB/f.u.

CIF file:
```
data_La2MgFe
_chemical_formula_sum 'La6 Mg3 Fe3'
_cell_length_a 3.9070
_cell_length_b 3.9070
_cell_length_c 26.4530
_cell_angle_alpha 90.00
_cell_angle_beta 90.00
_cell_angle_gamma 120.00
_symmetry_space_group_name_H-M 'R -3 m'
_symmetry_Int_Tables_number 166
_symmetry_space_group_name_Hall '-R 3 2"'
loop_
_atom_site_label
_atom_site_fract_x
_atom_site_fract_y
_atom_site_fract_z
La1 0.0000 0.0000 0.2255
Mg1 0.0000 0.0000 0.0000
Fe1 0.0000 0.0000 0.5000
```

[11]
A plane-wave DFT calculation with GGA-PBE was carried out for LaMgFe3 after structural relaxation.

Properties
Energy of formation from the pure elements = 0.99 eV/atom
Raw total energy = -5.395 eV per atom
Magnetization = 7.0 μB/f.u.

CIF file:
```
data_LaMgFe3
_chemical_formula_sum 'La1 Mg1 Fe3'
_cell_length_a 4.680
_cell_length_b 4.680
_cell_length_c 4.680
_cell_angle_alpha 90.00
_cell_angle_beta 90.00
_cell_angle_gamma 90.00
_symmetry_space_group_name_H-M 'P m -3 m'
_symmetry_Int_Tables_number 221
_symmetry_space_group_name_Hall '-P 4 2 3'
loop_
_atom_site_label
_atom_site_fract_x
_atom_site_fract_y
_atom_site_fract_z
La1 0.000 0.000 0.000
Mg1 0.500 0.500 0.500
Fe1 0.000 0.500 0.500
```

Calculated calculated volume (A^3/atom), listed in the same order as above: 26.671; 27.148; 26.927; 27.834; 30.682; 25.565; 24.375; 20.818; 26.173; 29.142; 20.501